[1]
# LaErTeO2, optimized geometry, DFT PBE
data_LaErTeO2
_space_group_name_H-M_alt 'P 1 21/m 1'
_space_group_IT_number 11
_cell_length_a 6.984
_cell_length_b 4.160
_cell_length_c 7.956
_cell_angle_alpha 90.00
_cell_angle_beta 107.53
_cell_angle_gamma 90.00
loop_
_space_group_symop_operation_xyz
'x,y,z'
'-x,-y,-z'
'-x,y+1/2,-z'
'x,-y+1/2,z'
loop_
_atom_site_label
_atom_site_type_symbol
_atom_site_fract_x
_atom_site_fract_y
_atom_site_fract_z
La1 La 0.182 0.250 0.426
Er1 Er 0.153 0.250 0.914
Te1 Te 0.450 0.750 0.759
O1 O 0.011 0.750 0.888
O2 O 0.015 0.750 0.370
# Electronic total energy in Ha/atom: -0.2755
# Spin magnetization in μB per cell: 0.0
# Formation energy without anion corrections in eV per atom: -2.9862


[2]
# Ag3C, optimized geometry, DFT PBE
data_Ag3C
_space_group_name_H-M_alt 'P m m n'
_space_group_IT_number 59
_cell_length_a 3.029
_cell_length_b 8.160
_cell_length_c 5.072
_cell_angle_alpha 90.00
_cell_angle_beta 90.00
_cell_angle_gamma 90.00
loop_
_space_group_symop_operation_xyz
'x,y,z'
'-x,-y,-z'
'-x+1/2,-y+1/2,z'
'x+1/2,y+1/2,-z'
'x+1/2,-y,-z'
'-x+1/2,y,z'
'-x,y+1/2,-z'
'x,-y+1/2,z'
loop_
_atom_site_label
_atom_site_type_symbol
_atom_site_fract_x
_atom_site_fract_y
_atom_site_fract_z
Ag1 Ag 0.250 0.063 0.227
Ag2 Ag 0.250 0.250 0.733
C1 C 0.250 0.750 0.616
# Electronic total energy in Ha/atom: -0.1221
# Spin magnetization in μB per cell: 0.0
# Calculated formation energy in eV/f.u.: 4.48


[3]
# CuRe2Pb, optimized geometry, DFT PBE
data_CuRe2Pb
_space_group_name_H-M_alt 'C 1 2/m 1'
_space_group_IT_number 12
_cell_length_a 9.159
_cell_length_b 3.246
_cell_length_c 4.842
_cell_angle_alpha 90.00
_cell_angle_beta 98.14
_cell_angle_gamma 90.00
loop_
_space_group_symop_operation_xyz
'x,y,z'
'-x,-y,-z'
'-x,y,-z'
'x,-y,z'
'x+1/2,y+1/2,z'
'-x+1/2,-y+1/2,-z'
'-x+1/2,y+1/2,-z'
'x+1/2,-y+1/2,z'
loop_
_atom_site_label
_atom_site_type_symbol
_atom_site_fract_x
_atom_site_fract_y
_atom_site_fract_z
Cu1 Cu 0.000 0.000 0.000
Re1 Re 0.240 0.500 0.183
Pb1 Pb 0.000 0.500 0.500
# Electronic total energy in Ha/atom: -0.2735
# Spin magnetization in μB per cell: 0.0
# Calculated formation energy in eV/f.u.: 2.93


[4]
# TiTl2Cu2, optimized geometry, DFT PBE
data_TiTl2Cu2
_space_group_name_H-M_alt 'P 4/m b m'
_space_group_IT_number 127
_space_group_name_Hall '-P 4 2ab'
_cell_length_a 6.958
_cell_length_b 6.958
_cell_length_c 3.876
_cell_angle_alpha 90.00
_cell_angle_beta 90.00
_cell_angle_gamma 90.00
loop_
_atom_site_label
_atom_site_type_symbol
_atom_site_fract_x
_atom_site_fract_y
_atom_site_fract_z
Ti1 Ti 0.000 0.000 0.000
Tl1 Tl 0.183 0.317 0.500
Cu1 Cu 0.123 0.623 0.000
# Electronic total energy in Ha/atom: -0.1417
# Spin magnetization in μB per cell: 0.6
# Calculated formation energy in eV/f.u.: 1.53


[5]
# NdSm6Ho, optimized geometry, DFT PBE
data_NdSm6Ho
_space_group_name_H-M_alt 'C 1 2/m 1'
_space_group_IT_number 12
_cell_length_a 9.000
_cell_length_b 9.399
_cell_length_c 6.619
_cell_angle_alpha 90.00
_cell_angle_beta 98.07
_cell_angle_gamma 90.00
loop_
_space_group_symop_operation_xyz
'x,y,z'
'-x,-y,-z'
'-x,y,-z'
'x,-y,z'
'x+1/2,y+1/2,z'
'-x+1/2,-y+1/2,-z'
'-x+1/2,y+1/2,-z'
'x+1/2,-y+1/2,z'
loop_
_atom_site_label
_atom_site_type_symbol
_atom_site_fract_x
_atom_site_fract_y
_atom_site_fract_z
Nd1 Nd 0.000 0.000 0.000
Sm1 Sm 0.154 0.500 0.193
Sm2 Sm 0.164 0.319 0.706
Ho1 Ho 0.000 0.000 0.500
# Electronic total energy in Ha/atom: -0.1676
# Spin magnetization in μB per cell: 0.0
# Calculated formation energy in eV/f.u.: 1.18


[6]
# Zn5Ga2Ag12, optimized geometry, DFT PBE
data_Zn5Ga2Ag12
_space_group_name_H-M_alt 'C 1 2/m 1'
_space_group_IT_number 12
_cell_length_a 14.043
_cell_length_b 5.745
_cell_length_c 8.977
_cell_angle_alpha 90.00
_cell_angle_beta 96.16
_cell_angle_gamma 90.00
loop_
_space_group_symop_operation_xyz
'x,y,z'
'-x,-y,-z'
'-x,y,-z'
'x,-y,z'
'x+1/2,y+1/2,z'
'-x+1/2,-y+1/2,-z'
'-x+1/2,y+1/2,-z'
'x+1/2,-y+1/2,z'
loop_
_atom_site_label
_atom_site_type_symbol
_atom_site_fract_x
_atom_site_fract_y
_atom_site_fract_z
Zn1 Zn 0.000 0.000 0.000
Zn2 Zn 0.161 0.500 0.418
Zn3 Zn 0.243 0.500 0.981
Ga1 Ga 0.000 0.280 0.500
Ag1 Ag 0.021 0.000 0.725
Ag2 Ag 0.053 0.500 0.860
Ag3 Ag 0.130 0.255 0.155
Ag4 Ag 0.189 0.252 0.678
# Electronic total energy in Ha/atom: -0.0859
# Spin magnetization in μB per cell: 0.0
# Calculated formation energy in eV/f.u.: 2.21


[7]
# CaGeBiCl2, optimized geometry, DFT PBE
data_CaGeBiCl2
_space_group_name_H-M_alt 'P 4/m m m'
_space_group_IT_number 123
_space_group_name_Hall '-P 4 2'
_cell_length_a 5.005
_cell_length_b 5.005
_cell_length_c 7.040
_cell_angle_alpha 90.00
_cell_angle_beta 90.00
_cell_angle_gamma 90.00
loop_
_atom_site_label
_atom_site_type_symbol
_atom_site_fract_x
_atom_site_fract_y
_atom_site_fract_z
Ca1 Ca 0.000 0.000 0.000
Ge1 Ge 0.500 0.500 0.500
Bi1 Bi 0.000 0.000 0.500
Cl1 Cl 0.000 0.500 0.000
# Electronic total energy in Ha/atom: -0.1271
# Spin magnetization in μB per cell: 0.5
# Formation energy without anion corrections in eV per atom: -0.6206


[8]
# FeCoMo2, optimized geometry, DFT PBE
data_FeCoMo2
_space_group_name_H-M_alt 'P 4/m m m'
_space_group_IT_number 123
_space_group_name_Hall '-P 4 2'
_cell_length_a 4.353
_cell_length_b 4.353
_cell_length_c 2.866
_cell_angle_alpha 90.00
_cell_angle_beta 90.00
_cell_angle_gamma 90.00
loop_
_atom_site_label
_atom_site_type_symbol
_atom_site_fract_x
_atom_site_fract_y
_atom_site_fract_z
Fe1 Fe 0.000 0.000 0.000
Co1 Co 0.500 0.500 0.000
Mo1 Mo 0.000 0.500 0.500
# Electronic total energy in Ha/atom: -0.3340
# Spin magnetization in μB per cell: 3.8
# Calculated formation energy in eV/f.u.: 0.87


[9]
# HfMg3V, optimized geometry, DFT PBE
data_HfMg3V
_space_group_name_H-M_alt 'P m -3 m'
_space_group_IT_number 221
_space_group_name_Hall '-P 4 2 3'
_cell_length_a 4.920
_cell_length_b 4.920
_cell_length_c 4.920
_cell_angle_alpha 90.00
_cell_angle_beta 90.00
_cell_angle_gamma 90.00
loop_
_atom_site_label
_atom_site_type_symbol
_atom_site_fract_x
_atom_site_fract_y
_atom_site_fract_z
Hf1 Hf 0.000 0.000 0.000
Mg1 Mg 0.000 0.500 0.500
V1 V 0.500 0.500 0.500
# Electronic total energy in Ha/atom: -0.1364
# Spin magnetization in μB per cell: 2.7
# Calculated formation energy in eV/f.u.: 5.30


[10]
# Zr3Cu2Rh, optimized geometry, DFT PBE
data_Zr3Cu2Rh
_space_group_name_H-M_alt 'C m m m'
_space_group_IT_number 65
_space_group_name_Hall '-C 2 2'
_cell_length_a 4.606
_cell_length_b 13.790
_cell_length_c 3.356
_cell_angle_alpha 90.00
_cell_angle_beta 90.00
_cell_angle_gamma 90.00
loop_
_atom_site_label
_atom_site_type_symbol
_atom_site_fract_x
_atom_site_fract_y
_atom_site_fract_z
Zr1 Zr 0.000 0.000 0.000
Zr2 Zr 0.000 0.334 0.000
Cu1 Cu 0.000 0.170 0.500
Rh1 Rh 0.000 0.500 0.500
# Electronic total energy in Ha/atom: -0.2648
# Spin magnetization in μB per cell: 0.0
# Calculated formation energy in eV/f.u.: -2.05


[11]
# NdTl3In3Br8, optimized geometry, DFT PBE
data_NdTl3In3Br8
_space_group_name_H-M_alt 'R -3 m'
_space_group_IT_number 166
_space_group_name_Hall '-R 3 2"'
_cell_length_a 9.5940
_cell_length_b 9.5940
_cell_length_c 23.1959
_cell_angle_alpha 90.00
_cell_angle_beta 90.00
_cell_angle_gamma 120.00
loop_
_atom_site_label
_atom_site_type_symbol
_atom_site_fract_x
_atom_site_fract_y
_atom_site_fract_z
Nd1 Nd 0.0000 0.0000 0.0000
Tl1 Tl 0.0000 0.5000 0.5000
In1 In 0.0000 0.5000 0.0000
Br1 Br 0.0000 0.0000 0.2515
Br2 Br 0.0443 0.5222 0.7379
# Electronic total energy in Ha/atom: -0.1163
# Spin magnetization in μB per cell: 0.0
# Formation energy without anion corrections in eV per atom: -0.9340


[12]
# Rb2Ac2RhO6, optimized geometry, DFT PBE
data_Rb2Ac2RhO6
_space_group_name_H-M_alt 'C 1 2/m 1'
_space_group_IT_number 12
_cell_length_a 6.304
_cell_length_b 10.700
_cell_length_c 6.907
_cell_angle_alpha 90.00
_cell_angle_beta 103.20
_cell_angle_gamma 90.00
loop_
_space_group_symop_operation_xyz
'x,y,z'
'-x,-y,-z'
'-x,y,-z'
'x,-y,z'
'x+1/2,y+1/2,z'
'-x+1/2,-y+1/2,-z'
'-x+1/2,y+1/2,-z'
'x+1/2,-y+1/2,z'
loop_
_atom_site_label
_atom_site_type_symbol
_atom_site_fract_x
_atom_site_fract_y
_atom_site_fract_z
Rb1 Rb 0.000 0.154 0.000
Ac1 Ac 0.000 0.337 0.500
Rh1 Rh 0.000 0.000 0.500
O1 O 0.186 0.147 0.663
O2 O 0.230 0.000 0.325
# Electronic total energy in Ha/atom: -0.2300
# Spin magnetization in μB per cell: 2.1
# Formation energy without anion corrections in eV per atom: -1.9621


[13]
# Ga2H4Br3, optimized geometry, DFT PBE
data_Ga2H4Br3
_space_group_name_H-M_alt 'C 1 2/m 1'
_space_group_IT_number 12
_cell_length_a 11.960
_cell_length_b 5.329
_cell_length_c 6.902
_cell_angle_alpha 90.00
_cell_angle_beta 112.57
_cell_angle_gamma 90.00
loop_
_space_group_symop_operation_xyz
'x,y,z'
'-x,-y,-z'
'-x,y,-z'
'x,-y,z'
'x+1/2,y+1/2,z'
'-x+1/2,-y+1/2,-z'
'-x+1/2,y+1/2,-z'
'x+1/2,-y+1/2,z'
loop_
_atom_site_label
_atom_site_type_symbol
_atom_site_fract_x
_atom_site_fract_y
_atom_site_fract_z
Ga1 Ga 0.219 0.000 0.273
H1 H 0.011 0.000 0.559
H2 H 0.178 0.500 0.817
Br1 Br 0.000 0.000 0.000
Br2 Br 0.175 0.500 0.320
# Electronic total energy in Ha/atom: -0.1070
# Spin magnetization in μB per cell: 0.0


[14]
# Li4InAg4, optimized geometry, DFT PBE
data_Li4InAg4
_space_group_name_H-M_alt 'I 4/m m m'
_space_group_IT_number 139
_space_group_name_Hall '-I 4 2'
_cell_length_a 8.588
_cell_length_b 8.588
_cell_length_c 4.218
_cell_angle_alpha 90.00
_cell_angle_beta 90.00
_cell_angle_gamma 90.00
loop_
_atom_site_label
_atom_site_type_symbol
_atom_site_fract_x
_atom_site_fract_y
_atom_site_fract_z
Li1 Li 0.169 0.169 0.000
In1 In 0.000 0.000 0.500
Ag1 Ag 0.000 0.333 0.500
# Electronic total energy in Ha/atom: -0.0966
# Spin magnetization in μB per cell: 0.0
# Calculated formation energy in eV/f.u.: -1.87


[15]
# Ir5W3, optimized geometry, DFT PBE
data_Ir5W3
_space_group_name_H-M_alt 'P 1 21/m 1'
_space_group_IT_number 11
_cell_length_a 6.263
_cell_length_b 5.048
_cell_length_c 8.525
_cell_angle_alpha 90.00
_cell_angle_beta 108.35
_cell_angle_gamma 90.00
loop_
_space_group_symop_operation_xyz
'x,y,z'
'-x,-y,-z'
'-x,y+1/2,-z'
'x,-y+1/2,z'
loop_
_atom_site_label
_atom_site_type_symbol
_atom_site_fract_x
_atom_site_fract_y
_atom_site_fract_z
Ir1 Ir 0.001 0.250 0.224
Ir2 Ir 0.158 0.250 0.973
Ir3 Ir 0.272 0.750 0.266
Ir4 Ir 0.348 0.501 0.715
W1 W 0.020 0.750 0.446
W2 W 0.397 0.250 0.430
W3 W 0.406 0.750 0.005
# Electronic total energy in Ha/atom: -0.3770
# Spin magnetization in μB per cell: 0.0
# Calculated formation energy in eV/f.u.: 1.08


[16]
# Pm3SmPd12, optimized geometry, DFT PBE
data_Pm3SmPd12
_space_group_name_H-M_alt 'P 4/m m m'
_space_group_IT_number 123
_space_group_name_Hall '-P 4 2'
_cell_length_a 4.172
_cell_length_b 4.172
_cell_length_c 16.812
_cell_angle_alpha 90.00
_cell_angle_beta 90.00
_cell_angle_gamma 90.00
loop_
_atom_site_label
_atom_site_type_symbol
_atom_site_fract_x
_atom_site_fract_y
_atom_site_fract_z
Pm1 Pm 0.000 0.000 0.000
Pm2 Pm 0.000 0.000 0.251
Sm1 Sm 0.000 0.000 0.500
Pd1 Pd 0.000 0.500 0.125
Pd2 Pd 0.000 0.500 0.376
Pd3 Pd 0.500 0.500 0.000
Pd4 Pd 0.500 0.500 0.250
Pd5 Pd 0.500 0.500 0.500
# Electronic total energy in Ha/atom: -0.2159
# Spin magnetization in μB per cell: 0.0
# Calculated formation energy in eV/f.u.: -12.73


[17]
# Cs2CoPbI6, optimized geometry, DFT PBE
data_Cs2CoPbI6
_space_group_name_H-M_alt 'F m -3 m'
_space_group_IT_number 225
_space_group_name_Hall '-F 4 2 3'
_cell_length_a 11.997
_cell_length_b 11.997
_cell_length_c 11.997
_cell_angle_alpha 90.00
_cell_angle_beta 90.00
_cell_angle_gamma 90.00
loop_
_atom_site_label
_atom_site_type_symbol
_atom_site_fract_x
_atom_site_fract_y
_atom_site_fract_z
Cs1 Cs 0.250 0.250 0.250
Co1 Co 0.000 0.000 0.000
Pb1 Pb 0.000 0.000 0.500
I1 I 0.000 0.000 0.233
# Electronic total energy in Ha/atom: -0.1081
# Spin magnetization in μB per cell: 11.4
# Formation energy without anion corrections in eV per atom: -0.7581


[18]
# Sm2Be3Ni12Rh, optimized geometry, DFT PBE
data_Sm2Be3Ni12Rh
_space_group_name_H-M_alt 'R -3 m'
_space_group_IT_number 166
_space_group_name_Hall '-R 3 2"'
_cell_length_a 7.2722
_cell_length_b 7.2722
_cell_length_c 17.1880
_cell_angle_alpha 90.00
_cell_angle_beta 90.00
_cell_angle_gamma 120.00
loop_
_atom_site_label
_atom_site_type_symbol
_atom_site_fract_x
_atom_site_fract_y
_atom_site_fract_z
Sm1 Sm 0.0000 0.0000 0.1060
Be1 Be 0.0000 0.5000 0.0000
Ni1 Ni 0.0214 0.5107 0.8792
Ni2 Ni 0.0387 0.5193 0.3647
Rh1 Rh 0.0000 0.0000 0.5000
# Electronic total energy in Ha/atom: -0.1879
# Spin magnetization in μB per cell: 0.0
# Calculated formation energy in eV/f.u.: 5.29


[19]
# PuZr3Rh4, optimized geometry, DFT PBE
data_PuZr3Rh4
_space_group_name_H-M_alt 'C 1 2/m 1'
_space_group_IT_number 12
_cell_length_a 6.627
_cell_length_b 6.630
_cell_length_c 7.511
_cell_angle_alpha 90.00
_cell_angle_beta 116.08
_cell_angle_gamma 90.00
loop_
_space_group_symop_operation_xyz
'x,y,z'
'-x,-y,-z'
'-x,y,-z'
'x,-y,z'
'x+1/2,y+1/2,z'
'-x+1/2,-y+1/2,-z'
'-x+1/2,y+1/2,-z'
'x+1/2,-y+1/2,z'
loop_
_atom_site_label
_atom_site_type_symbol
_atom_site_fract_x
_atom_site_fract_y
_atom_site_fract_z
Pu1 Pu 0.000 0.000 0.000
Zr1 Zr 0.000 0.500 0.000
Zr2 Zr 0.250 0.000 0.500
Rh1 Rh 0.118 0.250 0.737
# Electronic total energy in Ha/atom: -0.3425
# Spin magnetization in μB per cell: 10.7
# Calculated formation energy in eV/f.u.: -5.18


[20]
# RbSn2S, optimized geometry, DFT PBE
data_RbSn2S
_space_group_name_H-M_alt 'I -4 2 d'
_space_group_IT_number 122
_space_group_name_Hall 'I -4 2bw'
_cell_length_a 5.035
_cell_length_b 5.035
_cell_length_c 20.995
_cell_angle_alpha 90.00
_cell_angle_beta 90.00
_cell_angle_gamma 90.00
loop_
_atom_site_label
_atom_site_type_symbol
_atom_site_fract_x
_atom_site_fract_y
_atom_site_fract_z
Rb1 Rb 0.000 0.000 0.000
Sn1 Sn 0.142 0.250 0.625
S1 S 0.000 0.000 0.500
# Electronic total energy in Ha/atom: -0.1284
# Spin magnetization in μB per cell: 0.0
# Formation energy without anion corrections in eV per atom: -0.2182